1.
VASP calculation (PBE) on a relaxed structure of PrNd4Se5.

The structure belongs to space group I4/mmm (No. 139); the cell edges are 4.234, 4.234 and 30.037 Å and the angles 90.00°, 90.00° and 90.00°. The asymmetric unit holds Pr at (0.000, 0.000, 0.000), Nd at (0.000, 0.000, 0.202), Nd at (0.000, 0.000, 0.401), Se at (0.000, 0.000, 0.101), Se at (0.000, 0.000, 0.302) and Se at (0.000, 0.000, 0.500).

For the total magnetization, the calculation gives 0.00 Bohr magnetons per cell. For the theoretical density, the calculation gives 6.86 Mg/m³. As for the uncorrected formation energy: -1.84 eV per atom. The calculation puts the total DFT energy (no corrections) at -5.965 eV per atom.

***

2.
VASP calculation (PBE) on a relaxed structure of Pr4Nd3Se8.

The structure belongs to space group C2/m (No. 12); the cell edges are 11.980, 11.982 and 8.468 Å and the angles 90.00°, 134.97° and 90.00°. The asymmetric unit holds Pr at (0.000, 0.000, 0.000), Pr at (0.000, 0.500, 0.500), Pr at (0.250, 0.250, 0.000), Nd at (0.000, 0.500, 0.000), Nd at (0.250, 0.250, 0.500), Se at (0.000, 0.247, 0.500), Se at (0.000, 0.251, 0.000), Se at (0.247, 0.000, 0.502) and Se at (0.248, 0.000, 0.993).

For the total magnetization, the calculation gives 0.00 Bohr magnetons per cell. For the theoretical density, the calculation gives 6.29 Mg/m³. As for the uncorrected formation energy: -1.87 eV per atom. The calculation puts the total DFT energy (no corrections) at -5.960 eV per atom.

***

3.
VASP calculation (PBE) on a relaxed structure of Pr3Nd5Se8.

The structure belongs to space group R-3m (No. 166, hexagonal axes); the cell edges are 8.4906, 8.4906 and 20.7988 Å and the angles 90.00°, 90.00° and 120.00°. The asymmetric unit holds Pr at (0.0000, 0.5000, 0.0000), Nd at (0.0000, 0.0000, 0.0000), Nd at (0.0000, 0.0000, 0.5000), Nd at (0.0000, 0.5000, 0.5000), Se at (0.0000, 0.0000, 0.2489) and Se at (0.0014, 0.5007, 0.7507).

For the total magnetization, the calculation gives 0.00 Bohr magnetons per cell. For the theoretical density, the calculation gives 6.81 Mg/m³. As for the uncorrected formation energy: -1.84 eV per atom. The calculation puts the total DFT energy (no corrections) at -5.964 eV per atom.

***

4.
VASP calculation (PBE) on a relaxed structure of PrNd5Se8.

The structure belongs to space group I-4 (No. 82); the cell edges are 9.118, 9.118 and 8.752 Å and the angles 90.00°, 90.00° and 90.00°. The asymmetric unit holds Pr at (0.000, 0.000, 0.000), Nd at (0.000, 0.500, 0.750), Nd at (0.151, 0.750, 0.375), Se at (0.068, 0.825, 0.696) and Se at (0.069, 0.674, 0.054).

For the total magnetization, the calculation gives 0.00 Bohr magnetons per cell. For the theoretical density, the calculation gives 6.82 Mg/m³. As for the uncorrected formation energy: -1.86 eV per atom. The calculation puts the total DFT energy (no corrections) at -5.897 eV per atom.

***

5.
VASP calculation (PBE) on a relaxed structure of Pr3NdSe6.

The structure belongs to space group P2_1/m (No. 11); the cell edges are 11.944, 4.281 and 12.278 Å and the angles 90.00°, 108.52° and 90.00°. The asymmetric unit holds Pr at (0.071, 0.250, 0.169), Pr at (0.182, 0.750, 0.503), Pr at (0.340, 0.250, 0.918), Nd at (0.457, 0.250, 0.311), Se at (0.019, 0.250, 0.385), Se at (0.100, 0.250, 0.935), Se at (0.250, 0.750, 0.279), Se at (0.312, 0.750, 0.750), Se at (0.390, 0.250, 0.537) and Se at (0.416, 0.750, 0.101).

Its distance to the lowest polymorph of the same formula is 0.000 eV/atom. For the total magnetization, the calculation gives 0.00 Bohr magnetons per cell. For the theoretical density, the calculation gives 5.81 Mg/m³. As for the uncorrected formation energy: -1.87 eV per atom. The calculation puts the total DFT energy (no corrections) at -5.868 eV per atom.

***

6.
VASP calculation (PBE) on a relaxed structure of Pr2Nd2Se3.

The structure belongs to space group P-1 (No. 2); the cell edges are 4.179, 7.257 and 7.286 Å and the angles 99.59°, 90.03° and 106.72°. The asymmetric unit holds Pr at (0.124, 0.247, 0.379), Nd at (0.373, 0.747, 0.124), Se at (0.000, 0.000, 0.000) and Se at (0.252, 0.505, 0.752).

For the total magnetization, the calculation gives 0.00 Bohr magnetons per cell. For the theoretical density, the calculation gives 6.43 Mg/m³. As for the uncorrected formation energy: -1.54 eV per atom. The calculation puts the total DFT energy (no corrections) at -5.764 eV per atom.